Compound: Nd2ErIn2
Source: Alexandria via LeMat-Bulk
Functional: PBE
Structure: optimized geometry

Values from the calculation:
E_form in kcal/mol of atoms: -8.65

abc: 4.543 4.933 13.066
angles: 90.00 99.99 90.00
Positions (direct):
Nd 0.049 0.250 0.098
Nd 0.239 0.250 0.479
Nd 0.761 0.750 0.521
Nd 0.951 0.750 0.902
Er 0.143 0.750 0.287
Er 0.857 0.250 0.713
In 0.352 0.750 0.702
In 0.451 0.250 0.902
In 0.549 0.750 0.098
In 0.648 0.250 0.298